No. 1
Here is a geometry-optimized CaLaFe2I structure from Alexandria. Energies are from GGA-PBE. Values from VASP.

Results
Magnetic moment ... 2.2 μB/f.u.
Symmetry ... No. 123
Calculated total energy ... -0.302 Ry/atom
ΔE_f (raw) ... 0.977 eV/atom

```
&SYSTEM
  ibrav = 0, nat = 5, ntyp = 4
/
ATOMIC_SPECIES
Ca 40.08 Ca.upf
La 138.91 La.upf
Fe 55.84 Fe.upf
I 126.90 I.upf
CELL_PARAMETERS angstrom
4.646 0.000 0.000
0.000 4.646 0.000
0.000 0.000 7.110
ATOMIC_POSITIONS crystal
Ca 0.000 0.000 0.000
La 0.000 0.000 0.500
Fe 0.000 0.500 0.500
Fe 0.500 0.000 0.500
I 0.500 0.500 0.000
```


No. 2
Here is a geometry-optimized HoGa2Ni structure from Alexandria. Energies are from GGA-PBE. Values from VASP.

Results
Energy relative to the elements ... -2.26 eV per formula unit
Magnetic moment ... 0.0 μB/f.u.
Symmetry ... No. 166
Calculated total energy ... -0.343 Ry/atom

```
&SYSTEM
  ibrav = 0, nat = 4, ntyp = 3
/
ATOMIC_SPECIES
Ho 164.93 Ho.upf
Ga 69.72 Ga.upf
Ni 58.69 Ni.upf
CELL_PARAMETERS angstrom
2.042 1.179 5.014
-2.042 1.179 5.014
0.000 -2.358 5.014
ATOMIC_POSITIONS crystal
Ho 0.000 0.000 0.000
Ga 0.213 0.213 0.213
Ga 0.787 0.787 0.787
Ni 0.500 0.500 0.500
```


No. 3
Here is a geometry-optimized RbEuO2 structure from Alexandria. Energies are from GGA-PBE. Values from VASP.

Results
Magnetic moment ... 6.0 μB/f.u.
Symmetry ... No. 166
Calculated total energy ... -0.549 Ry/atom
ΔE_f (raw) ... -2.184 eV/atom

```
&SYSTEM
  ibrav = 0, nat = 4, ntyp = 3
/
ATOMIC_SPECIES
Rb 85.47 Rb.upf
Eu 151.96 Eu.upf
O 16.00 O.upf
CELL_PARAMETERS angstrom
1.809 1.044 6.559
-1.809 1.044 6.559
0.000 -2.089 6.559
ATOMIC_POSITIONS crystal
Rb 0.000 0.000 0.000
Eu 0.500 0.500 0.500
O 0.227 0.227 0.227
O 0.773 0.773 0.773
```


No. 4
Here is a geometry-optimized SiTeAu2 structure from Alexandria. Energies are from GGA-PBE. Values from VASP.

Results
Magnetic moment ... 0.0 μB/f.u.
Symmetry ... No. 35
Calculated total energy ... -0.257 Ry/atom
ΔE_f (raw) ... 0.281 eV/atom

```
&SYSTEM
  ibrav = 0, nat = 4, ntyp = 3
/
ATOMIC_SPECIES
Si 28.09 Si.upf
Te 127.60 Te.upf
Au 196.97 Au.upf
CELL_PARAMETERS angstrom
2.184 -2.390 0.000
2.184 2.390 0.000
0.000 0.000 7.983
ATOMIC_POSITIONS crystal
Si 0.000 0.000 0.000
Te 0.500 0.500 0.672
Au 0.000 0.000 0.403
Au 0.500 0.500 0.165
```


No. 5
Here is a geometry-optimized Sb4WCl structure from Alexandria. Energies are from GGA-PBE. Values from VASP.

Results
Magnetic moment ... 3.2 μB/f.u.
Symmetry ... No. 216
Calculated total energy ... -0.311 Ry/atom
ΔE_f (raw) ... 0.981 eV/atom

```
&SYSTEM
  ibrav = 0, nat = 6, ntyp = 3
/
ATOMIC_SPECIES
Sb 121.76 Sb.upf
W 183.84 W.upf
Cl 35.45 Cl.upf
CELL_PARAMETERS angstrom
0.000 4.331 4.331
4.331 0.000 4.331
4.331 4.331 0.000
ATOMIC_POSITIONS crystal
Sb 0.376 0.376 0.376
Sb 0.376 0.376 0.873
Sb 0.376 0.873 0.376
Sb 0.873 0.376 0.376
W 0.000 0.000 0.000
Cl 0.750 0.750 0.750
```


No. 6
Here is a geometry-optimized GdZrTi2 structure from Alexandria. Energies are from GGA-PBE. Values from VASP.

Results
Energy relative to the elements ... 0.57 eV per formula unit
Magnetic moment ... 7.4 μB/f.u.
Symmetry ... No. 123
Calculated total energy ... -0.696 Ry/atom

```
&SYSTEM
  ibrav = 0, nat = 4, ntyp = 3
/
ATOMIC_SPECIES
Gd 157.25 Gd.upf
Zr 91.22 Zr.upf
Ti 47.87 Ti.upf
CELL_PARAMETERS angstrom
3.634 0.000 0.000
0.000 3.634 0.000
0.000 0.000 6.743
ATOMIC_POSITIONS crystal
Gd 0.000 0.000 0.000
Zr 0.000 0.000 0.500
Ti 0.500 0.500 0.297
Ti 0.500 0.500 0.703
```


No. 7
Here is a geometry-optimized Ba5Li2Te3O15 structure from Alexandria. Energies are from GGA-PBE. Values from VASP.

Results
Magnetic moment ... 0.0 μB/f.u.
Symmetry ... No. 87
Calculated total energy ... -0.434 Ry/atom
ΔE_f (raw) ... -2.021 eV/atom

```
&SYSTEM
  ibrav = 0, nat = 50, ntyp = 4
/
ATOMIC_SPECIES
Ba 137.33 Ba.upf
Li 6.94 Li.upf
Te 127.60 Te.upf
O 16.00 O.upf
CELL_PARAMETERS angstrom
-6.635 6.635 4.133
6.635 -6.635 4.133
6.635 6.635 -4.133
ATOMIC_POSITIONS crystal
Ba 0.041 0.142 0.691
Ba 0.142 0.451 0.101
Ba 0.250 0.750 0.500
Ba 0.350 0.041 0.899
Ba 0.451 0.350 0.309
Ba 0.549 0.650 0.691
Ba 0.650 0.959 0.101
Ba 0.750 0.250 0.500
Ba 0.858 0.549 0.899
Ba 0.959 0.858 0.309
Li 0.094 0.302 0.396
Li 0.302 0.906 0.208
Li 0.698 0.094 0.792
Li 0.906 0.698 0.604
Te 0.000 0.000 0.000
Te 0.194 0.599 0.793
Te 0.401 0.194 0.595
Te 0.500 0.500 0.000
Te 0.599 0.806 0.405
Te 0.806 0.401 0.207
O 0.027 0.637 0.199
O 0.046 0.137 0.183
O 0.057 0.644 0.700
O 0.137 0.954 0.091
O 0.160 0.457 0.617
O 0.172 0.973 0.610
O 0.250 0.733 0.983
O 0.257 0.257 0.000
O 0.267 0.250 0.516
O 0.356 0.057 0.413
O 0.361 0.545 0.906
O 0.363 0.562 0.390
O 0.438 0.828 0.801
O 0.455 0.361 0.816
O 0.457 0.840 0.298
O 0.543 0.160 0.702
O 0.545 0.639 0.184
O 0.562 0.172 0.199
O 0.637 0.438 0.610
O 0.639 0.455 0.094
O 0.644 0.943 0.587
O 0.733 0.750 0.484
O 0.743 0.743 0.000
O 0.750 0.267 0.017
O 0.828 0.027 0.390
O 0.840 0.543 0.383
O 0.863 0.046 0.909
O 0.943 0.356 0.300
O 0.954 0.863 0.817
O 0.973 0.363 0.801
```